# U2ReTc5

An optimized crystal structure of U2ReTc5 (GGA-PBE, Alexandria via LeMat-Bulk).

```
data_U2ReTc5
_cell_length_a 5.630
_cell_length_b 10.813
_cell_length_c 4.394
_cell_angle_alpha 90.00
_cell_angle_beta 90.00
_cell_angle_gamma 90.00
_space_group_name_H-M_alt 'P b a m'
_space_group_IT_number 55
loop_
_space_group_symop_operation_xyz
'x,y,z'
'-x,-y,-z'
'-x,-y,z'
'x,y,-z'
'x+1/2,-y+1/2,-z'
'-x+1/2,y+1/2,z'
'-x+1/2,y+1/2,-z'
'x+1/2,-y+1/2,z'
loop_
_atom_site_label
_atom_site_type_symbol
_atom_site_fract_x
_atom_site_fract_y
_atom_site_fract_z
_atom_site_occupancy
U1 U 0.157 0.143 0.000 1
Re1 Re 0.000 0.500 0.500 1
Tc1 Tc 0.000 0.000 0.500 1
Tc2 Tc 0.098 0.735 0.500 1
Tc3 Tc 0.174 0.396 0.000 1
```


# U4ReTc2

An optimized crystal structure of U4ReTc2 (GGA-PBE, Alexandria via LeMat-Bulk).

```
data_U4ReTc2
_cell_length_a 18.904
_cell_length_b 5.435
_cell_length_c 5.046
_cell_angle_alpha 90.00
_cell_angle_beta 99.74
_cell_angle_gamma 90.00
_space_group_name_H-M_alt 'C 1 2/c 1'
_space_group_IT_number 15
loop_
_space_group_symop_operation_xyz
'x,y,z'
'-x,-y,-z'
'-x,y,-z+1/2'
'x,-y,z+1/2'
'x+1/2,y+1/2,z'
'-x+1/2,-y+1/2,-z'
'-x+1/2,y+1/2,-z+1/2'
'x+1/2,-y+1/2,z+1/2'
loop_
_atom_site_label
_atom_site_type_symbol
_atom_site_fract_x
_atom_site_fract_y
_atom_site_fract_z
_atom_site_occupancy
U1 U 0.072 0.099 0.286 1
U2 U 0.147 0.389 0.793 1
Re1 Re 0.000 0.406 0.750 1
Tc1 Tc 0.226 0.094 0.292 1
```


ΔH_f (0 K) per entry: -0.03 -0.01 eV per atom
DOS at the Fermi energy per entry: 18.00 51.19 states/eV/cell
Raw total energy per entry: -87.107 -78.374 eV/f.u.